VASP calculation (PBE with a Hubbard U) on an optimized crystal structure of CaV2GeO8.

Unit cell a=5.768 b=5.768 c=5.768 alpha=106.71 beta=106.71 gamma=115.15
Atoms (fractional coordinates):
Ca 0.000 0.000 0.000
V 0.250 0.750 0.500
V 0.500 0.500 0.000
Ge 0.750 0.250 0.500
O 0.055 0.374 0.319
O 0.055 0.736 0.681
O 0.126 0.333 0.793
O 0.264 0.945 0.319
O 0.540 0.333 0.207
O 0.626 0.945 0.681
O 0.667 0.460 0.793
O 0.667 0.874 0.207

Properties
SG: No. 119
Uncorrected energy, eV per atom: -6.8424
Magnetization, μB per formula unit: 0.0